Compound: RbSnPt
Source: Alexandria via LeMat-Bulk
Functional: PBE
Structure: optimized geometry

It has space group P-6m2 (No. 187), with a = 4.5134 Å, b = 4.5134 Å, c = 5.7692 Å, α = 90.00°, β = 90.00° and γ = 120.00°. The asymmetric unit holds Rb at (0.0000, 0.0000, 0.0000), Sn at (0.3333, 0.6667, 0.5000) and Pt at (0.6667, 0.3333, 0.5000).

For the energy relative to the lowest polymorph listed for this composition, the calculation gives 146 meV/atom.